# 1
Crystalline DyTm2PaSe4 at its relaxed geometry. Source: the Alexandria database, functional PBE.

abc: 6.982 3.979 7.095
angles: 90.00 108.62 90.00
Space group P2/m (No. 10)
One atom of each set of equivalent atoms:
Dy: 0.000 0.000 0.000
Tm: 0.000 0.500 0.500
Tm: 0.500 0.000 0.500
Pa: 0.500 0.500 0.000
Se: 0.245 0.000 0.741
Se: 0.251 0.500 0.257



# 2
Crystalline Dy2YPaSe4 at its relaxed geometry. Source: the Alexandria database, functional PBE.

abc: 7.075 4.033 7.088
angles: 90.00 108.89 90.00
Space group P2/m (No. 10)
One atom of each set of equivalent atoms:
Dy: 0.000 0.000 0.000
Dy: 0.000 0.500 0.500
Y: 0.500 0.000 0.500
Pa: 0.500 0.500 0.000
Se: 0.247 0.000 0.747
Se: 0.248 0.500 0.250



Energy relative to the elements, uncorrected: -1552.7 -1599.3 (meV/atom)
Calculated volume: 186.80 191.33 (Å³/cell)